1.
The following is a PBE calculation of crystalline MgPaRh at its relaxed geometry, from Alexandria via LeMat-Bulk.

abc: 3.1868 3.1868 6.4663
angles: 104.27 104.27 90.00
Closest atoms and distances in Å follow each position.
Atoms (fractional coordinates):
Rh: 0.6656 0.6656 0.3312  4 Mg 2.82, 4 Pa 2.85
Pa: 0.3091 0.3091 0.6182  4 Rh 2.85, 4 Pa 3.19
Mg: 0.0253 0.0253 0.0506  4 Rh 2.82

Summary:
Size of the total moment, μB/f.u.: 0.000
Formation energy from the elements, eV/atom: -0.3720
Total energy, eV/f.u.: -19.56



2.
The following is a PBE calculation of crystalline RbCaCd2B at its relaxed geometry, from Alexandria via LeMat-Bulk.

abc: 4.9628 5.3684 4.9628
angles: 90.00 90.00 90.00
Closest atoms and distances in Å follow each position.
Atoms (fractional coordinates):
B: 0.0000 0.0000 0.0000  4 Cd 2.48, 2 Ca 2.68
Cd: 0.5000 0.0000 0.0000  2 B 2.48
Cd: 0.0000 0.0000 0.5000  2 B 2.48
Rb: 0.5000 0.5000 0.5000  4 Ca 3.51, 8 Cd 3.66
Ca: 0.0000 0.5000 0.0000  2 B 2.68

Summary:
Size of the total moment, μB/f.u.: 0.000
Formation energy from the elements, eV/atom: 0.4101
Total energy, eV/f.u.: -9.43



3.
The following is a PBE calculation of crystalline MgCoAu2 at its relaxed geometry, from Alexandria via LeMat-Bulk.

abc: 8.9094 8.9094 8.9094
angles: 19.12 19.12 19.12
Closest atoms and distances in Å follow each position.
Atoms (fractional coordinates):
Co: 0.2500 0.2500 0.2500  6 Au 2.71, 6 Co 2.96
Au: 0.9970 0.9970 0.9970  3 Co 2.71, 3 Mg 2.84, 6 Au 2.96
Mg: 0.7500 0.7500 0.7500  6 Au 2.84, 6 Mg 2.96
Au: 0.5030 0.5030 0.5030  3 Co 2.71, 3 Mg 2.84, 6 Au 2.96

Summary:
Size of the total moment, μB/f.u.: 1.884
Formation energy from the elements, eV/atom: 0.0410
Total energy, eV/f.u.: -15.09



4.
The following is a PBE calculation of crystalline Sm2Er5Bi3C2 at its relaxed geometry, from Alexandria via LeMat-Bulk.

abc: 4.8367 4.8367 13.4533
angles: 100.36 100.36 90.00
Closest atoms and distances in Å follow each position.
Atoms (fractional coordinates):
Sm: 0.3080 0.3080 0.6160  1 C 2.55
Bi: 0.8198 0.8198 0.6396  5 Sm 3.32-3.43, 4 Er 3.33
Er: 0.5922 0.0922 0.1845  2 C 2.42
Er: 0.9078 0.4078 0.8155  2 C 2.42
Er: 0.4078 0.9078 0.8155  2 C 2.42
C: 0.4059 0.4059 0.8118  5 Er 2.42-2.45, 1 Sm 2.55
Bi: 0.0000 0.0000 0.0000  12 Er 3.41-3.42
Bi: 0.1802 0.1802 0.3604  5 Sm 3.32-3.43, 4 Er 3.33
Er: 0.5000 0.5000 0.0000  2 C 2.45
C: 0.5941 0.5941 0.1882  5 Er 2.42-2.45, 1 Sm 2.55
Er: 0.0922 0.5922 0.1845  2 C 2.42
Sm: 0.6920 0.6920 0.3840  1 C 2.55

Summary:
Size of the total moment, μB/f.u.: 0.000
Formation energy from the elements, eV/atom: -0.6343
Total energy, eV/f.u.: -69.96



5.
The following is a PBE calculation of crystalline ZrInGaCl6 at its relaxed geometry, from Alexandria via LeMat-Bulk.

abc: 7.3076 7.3076 12.8430
angles: 90.00 90.00 120.00
Closest atoms and distances in Å follow each position.
Atoms (fractional coordinates):
Cl: 0.9503 0.6098 0.3617  1 Zr 2.50
Cl: 0.3405 0.9503 0.6383  1 Zr 2.50
Cl: 0.0497 0.6595 0.8617  1 Zr 2.50
Cl: 0.3902 0.3405 0.3617  1 Zr 2.50
Cl: 0.3405 0.3902 0.8617  1 Zr 2.50
Cl: 0.6595 0.6098 0.1383  1 Zr 2.50
Zr: 0.6667 0.3333 0.2500  6 Cl 2.50
Cl: 0.9503 0.3405 0.1383  1 Zr 2.50
In: 0.0000 0.0000 0.5000  6 Cl 3.22
In: 0.0000 0.0000 0.0000  6 Cl 3.22
Cl: 0.6595 0.0497 0.3617  1 Zr 2.50
Cl: 0.3902 0.0497 0.1383  1 Zr 2.50
Zr: 0.3333 0.6667 0.7500  6 Cl 2.50
Ga: 0.6667 0.3333 0.7500  6 Cl 2.98
Cl: 0.6098 0.9503 0.8617  1 Zr 2.50
Cl: 0.0497 0.3902 0.6383  1 Zr 2.50
Ga: 0.3333 0.6667 0.2500  6 Cl 2.98
Cl: 0.6098 0.6595 0.6383  1 Zr 2.50

Summary:
Size of the total moment, μB/f.u.: 0.000
Formation energy without anion corrections, eV per formula unit: -12.30
Total energy, eV/f.u.: -37.69



6.
The following is a PBE calculation of crystalline Sc2AgRu2 at its relaxed geometry, from Alexandria via LeMat-Bulk.

abc: 7.2533 7.2533 3.3669
angles: 90.00 90.00 90.00
Closest atoms and distances in Å follow each position.
Atoms (fractional coordinates):
Ru: 0.1331 0.3669 0.0000  6 Sc 2.65-2.77, 1 Ru 2.73, 2 Ag 2.83
Sc: 0.3322 0.1678 0.5000  6 Ru 2.65-2.77
Ag: 0.0000 0.0000 0.0000  4 Ru 2.83
Ru: 0.8669 0.6331 0.0000  6 Sc 2.65-2.77, 1 Ru 2.73, 2 Ag 2.83
Ag: 0.5000 0.5000 0.0000  4 Ru 2.83
Sc: 0.8322 0.3322 0.5000  6 Ru 2.65-2.77
Sc: 0.1678 0.6678 0.5000  6 Ru 2.65-2.77
Ru: 0.6331 0.1331 0.0000  6 Sc 2.65-2.77, 1 Ru 2.73, 2 Ag 2.83
Ru: 0.3669 0.8669 0.0000  6 Sc 2.65-2.77, 1 Ru 2.73, 2 Ag 2.83
Sc: 0.6678 0.8322 0.5000  6 Ru 2.65-2.77

Summary:
Size of the total moment, μB/f.u.: 0.000
Formation energy from the elements, eV/atom: -0.2191
Total energy, eV/f.u.: -35.16